This record from Alexandria describes a geometry-optimized Ti6TlSb structure. The functional is GGA-PBE.

abc: 4.7706 5.7798 5.7798
angles: 114.84 90.00 90.00
With the nearest neighbours (Å) after each atom.
Fractional positions:
Tl: 0.5000 0.4243 0.5757  12 Ti 2.85-3.14
Ti: 0.5000 0.8813 0.1187  8 Ti 2.75-3.05, 2 Sb 3.05
Ti: 0.0000 0.6228 0.3772  6 Ti 2.67-2.95
Ti: 0.5000 0.9315 0.6133  7 Ti 2.75-3.05, 2 Tl 2.85-2.95, 2 Sb 2.89
Sb: 0.0000 0.0771 0.9229  12 Ti 2.85-3.14
Ti: 0.0000 0.5727 0.8967  6 Ti 2.67-2.95, 2 Sb 2.85-2.93, 2 Tl 2.92
Ti: 0.0000 0.1033 0.4273  6 Ti 2.67-2.95, 2 Sb 2.85-2.93, 2 Tl 2.92
Ti: 0.5000 0.3867 0.0685  7 Ti 2.75-3.05, 2 Tl 2.85-2.95, 2 Sb 2.89

V: 144.62 Å³/cell
electronic total energy: -6.9195 eV/atom
spin magnetization: 0.0 μB per cell